Record 1
# PBE CeErCo2, relaxed
data_CeErCo2
_symmetry_space_group_name_H-M 'P 1 2/c 1'
_symmetry_Int_Tables_number 13
_symmetry_space_group_name_Hall '-P 2yc'
_cell_length_a 5.9035
_cell_length_b 5.9630
_cell_length_c 9.4423
_cell_angle_alpha 90.00
_cell_angle_beta 111.44
_cell_angle_gamma 90.00
loop_
_atom_site_label
_atom_site_type_symbol
_atom_site_fract_x
_atom_site_fract_y
_atom_site_fract_z
Ce1 Ce 0.1950 0.1360 0.1548
Er1 Er 0.3087 0.3579 0.8528
Co1 Co 0.1176 0.3360 0.5338
Co2 Co 0.3496 0.1355 0.4077
# - spin magnetization (μB/cell) = 0.00
# - calculated formation energy (eV/atom) = -0.237
# - total DFT energy (no corrections) (eV/atom) = -6.41
# - theoretical density (g/cm3) = 9.13
# - calculated volume (Å³/f.u.) = 77.3



Record 2
# PBE NaH2Rh, relaxed
data_NaH2Rh
_symmetry_space_group_name_H-M 'P 4/m m m'
_symmetry_Int_Tables_number 123
_symmetry_space_group_name_Hall '-P 4 2'
_cell_length_a 2.7802
_cell_length_b 2.7802
_cell_length_c 5.5041
_cell_angle_alpha 90.00
_cell_angle_beta 90.00
_cell_angle_gamma 90.00
loop_
_atom_site_label
_atom_site_type_symbol
_atom_site_fract_x
_atom_site_fract_y
_atom_site_fract_z
Na1 Na 0.0000 0.0000 0.0000
H1 H 0.5000 0.5000 0.3835
Rh1 Rh 0.0000 0.0000 0.5000
# - spin magnetization (μB/cell) = 0.00
# - ΔE to the lowest computed polymorph (eV/atom) = 0.410
# - total DFT energy (no corrections) (eV/atom) = -3.60
# - theoretical density (g/cm3) = 4.99
# - calculated volume (Å³/f.u.) = 42.5



Record 3
# PBE CsCe4Pd3Se12, relaxed
data_CsCe4Pd3Se12
_symmetry_space_group_name_H-M 'I m -3'
_symmetry_Int_Tables_number 204
_symmetry_space_group_name_Hall '-I 2 2 3'
_cell_length_a 10.4433
_cell_length_b 10.4433
_cell_length_c 10.4433
_cell_angle_alpha 90.00
_cell_angle_beta 90.00
_cell_angle_gamma 90.00
loop_
_atom_site_label
_atom_site_type_symbol
_atom_site_fract_x
_atom_site_fract_y
_atom_site_fract_z
Cs1 Cs 0.0000 0.0000 0.0000
Ce1 Ce 0.2500 0.2500 0.2500
Pd1 Pd 0.0000 0.0000 0.5000
Se1 Se 0.0000 0.1616 0.3251
# - spin magnetization (μB/cell) = 0.00
# - energy relative to the elements, uncorrected (eV per atom) = -0.999
# - total DFT energy (no corrections) (eV/atom) = -5.10
# - theoretical density (g/cm3) = 5.72
# - calculated volume (Å³/f.u.) = 569.5



Record 4
# PBE ScPaGaRu, relaxed
data_ScPaGaRu
_symmetry_space_group_name_H-M 'F -4 3 m'
_symmetry_Int_Tables_number 216
_symmetry_space_group_name_Hall 'F -4 2 3'
_cell_length_a 6.6607
_cell_length_b 6.6607
_cell_length_c 6.6607
_cell_angle_alpha 90.00
_cell_angle_beta 90.00
_cell_angle_gamma 90.00
loop_
_atom_site_label
_atom_site_type_symbol
_atom_site_fract_x
_atom_site_fract_y
_atom_site_fract_z
Sc1 Sc 0.0000 0.0000 0.0000
Pa1 Pa 0.2500 0.2500 0.2500
Ga1 Ga 0.2500 0.2500 0.7500
Ru1 Ru 0.0000 0.0000 0.5000
# - spin magnetization (μB/cell) = 3.98
# - calculated formation energy (eV/atom) = -0.370
# - total DFT energy (no corrections) (eV/atom) = -7.40
# - theoretical density (g/cm3) = 10.04
# - calculated volume (Å³/f.u.) = 73.9